The following is a DFT calculation (PBE with a Hubbard U) of a relaxed structure of CeNiTeO6.

```
data_CeNiTeO6
_chemical_formula_sum 'Ce2 Ni2 Te2 O12'
_cell_length_a 4.914
_cell_length_b 4.914
_cell_length_c 9.698
_cell_angle_alpha 90.00
_cell_angle_beta 90.00
_cell_angle_gamma 90.00
_symmetry_space_group_name_H-M 'P 42 n m'
_symmetry_Int_Tables_number 102
loop_
_symmetry_equiv_pos_as_xyz
'x,y,z'
'-y+1/2,x+1/2,z+1/2'
'-x,-y,z'
'y+1/2,-x+1/2,z+1/2'
'-x+1/2,y+1/2,z+1/2'
'y,x,z'
'x+1/2,-y+1/2,z+1/2'
'-y,-x,z'
loop_
_atom_site_label
_atom_site_type_symbol
_atom_site_fract_x
_atom_site_fract_y
_atom_site_fract_z
Ce1 Ce 0.000 0.000 0.000
Ni1 Ni 0.000 0.000 0.672
Te1 Te 0.000 0.000 0.338
O1 O 0.178 0.178 0.495
O2 O 0.193 0.193 0.192
O3 O 0.217 0.217 0.832
```

Computed properties:
As for the calculated total energy: -6.38 eV/atom. The value obtained for the spin magnetization is 2.0 μB per formula unit. The calculation puts the density at 5.992 g/cm³.